Record 1
Ho3Ga4Pd4: relaxed, PBE.

## Properties
- Density of states at the Fermi level: 0.502 states/eV/atom
- VASP energy: -5.058 eV per atom
- Energy of formation: -0.820 eV per atom
- Excess energy over the best structure of this formula in the dataset: 0.018 eV per atom

a b c (Å): 4.4721 3.5806 13.5160
angles (deg): 97.61 99.52 90.00
Closest atoms and distances in Å follow each position.
Positions (direct):
Pd: 0.2592 0.2592 0.5183  4 Ga 2.54-2.60
Pd: 0.0947 0.5947 0.1893  3 Ga 2.54-2.55
Pd: 0.7408 0.7408 0.4817  4 Ga 2.54-2.60
Pd: 0.9053 0.4053 0.8107  3 Ga 2.54-2.55
Ho: 0.6433 0.1433 0.2867  6 Ga 3.08-3.13, 6 Pd 3.14
Ho: 0.3567 0.8567 0.7133  6 Ga 3.08-3.13, 6 Pd 3.14
Ho: 0.0000 0.0000 0.0000  4 Pd 3.08, 8 Ga 3.14
Ga: 0.1908 0.6908 0.3817  5 Pd 2.54-2.60
Ga: 0.5484 0.5484 0.0969  2 Pd 2.55, 1 Ga 2.56
Ga: 0.4516 0.4516 0.9031  2 Pd 2.55, 1 Ga 2.56
Ga: 0.8092 0.3092 0.6183  5 Pd 2.54-2.60

***

Record 2
Ho2Ga3Pd: relaxed, PBE.

## Properties
- Density of states at the Fermi level: 0.465 states/eV/atom
- VASP energy: -4.676 eV per atom
- Energy of formation: -0.771 eV per atom
- Excess energy over the best structure of this formula in the dataset: 0.000 eV per atom

a b c (Å): 4.4295 5.6034 5.7188
angles (deg): 77.73 67.21 66.72
Closest atoms and distances in Å follow each position.
Positions (direct):
Ga: 0.8404 0.6176 0.7017  1 Pd 2.57, 3 Ga 2.60-2.88
Ga: 0.1632 0.7759 0.8976  3 Ga 2.60-2.61, 1 Pd 2.78
Ga: 0.8351 0.2180 0.1119  2 Pd 2.57, 1 Ga 2.61
Pd: 0.1654 0.3820 0.2871  4 Ga 2.57-2.78
Ho: 0.4565 0.7916 0.2954  3 Pd 3.04-3.06, 9 Ga 3.06-3.32
Ho: 0.5395 0.2149 0.7062  9 Ga 3.03-3.27, 3 Pd 3.20-3.24

***

Record 3
HoGa2Pd7: relaxed, PBE.

## Properties
- Density of states at the Fermi level: 0.427 states/eV/atom
- VASP energy: -5.000 eV per atom
- Energy of formation: -0.302 eV per atom
- Excess energy over the best structure of this formula in the dataset: 0.371 eV per atom

a b c (Å): 4.5013 7.1096 7.1096
angles (deg): 117.92 90.00 90.00
Closest atoms and distances in Å follow each position.
Positions (direct):
Pd: 0.5000 0.3068 0.0683  2 Ga 2.49-2.60, 2 Pd 2.71-2.75
Pd: 0.5000 0.0683 0.3068  2 Ga 2.49-2.60, 2 Pd 2.71-2.75
Pd: 0.0000 0.7751 0.2249  2 Ga 2.43
Pd: 0.5000 0.9317 0.6932  2 Ga 2.49-2.60, 2 Pd 2.71-2.75
Pd: 0.5000 0.5000 0.5000  2 Ga 2.43, 4 Pd 2.71
Pd: 0.5000 0.6932 0.9317  2 Ga 2.49-2.60, 2 Pd 2.71-2.75
Pd: 0.0000 0.2249 0.7751  2 Ga 2.43
Ga: 0.5000 0.6996 0.3004  7 Pd 2.43-2.60
Ga: 0.5000 0.3004 0.6996  7 Pd 2.43-2.60
Ho: 0.0000 0.0000 0.0000  10 Pd 2.74-3.01

***

Record 4
HoGaPd2: relaxed, PBE.

## Properties
- Density of states at the Fermi level: 0.274 states/eV/atom
- VASP energy: -5.230 eV per atom
- Energy of formation: -0.733 eV per atom

a b c (Å): 3.3818 3.3818 6.3525
angles (deg): 90.00 90.00 90.00
Closest atoms and distances in Å follow each position.
Positions (direct):
Pd: 0.0000 0.0000 0.2209  4 Ga 2.77, 1 Pd 2.81, 4 Ho 2.98
Pd: 0.0000 0.0000 0.7791  4 Ga 2.77, 1 Pd 2.81, 4 Ho 2.98
Ga: 0.5000 0.5000 0.0000  8 Pd 2.77
Ho: 0.5000 0.5000 0.5000  8 Pd 2.98, 2 Ga 3.18

***

Record 5
HoGa4Pd2: relaxed, PBE.

## Properties
- Density of states at the Fermi level: 0.509 states/eV/atom
- VASP energy: -4.424 eV per atom
- Energy of formation: -0.557 eV per atom
- Excess energy over the best structure of this formula in the dataset: 0.118 eV per atom

a b c (Å): 3.7314 8.3019 8.3019
angles (deg): 90.00 90.00 90.00
Closest atoms and distances in Å follow each position.
Positions (direct):
Pd: 0.5000 0.2939 0.2939  6 Ga 2.52-2.60
Pd: 0.5000 0.7061 0.7061  6 Ga 2.52-2.60
Pd: 0.0000 0.7939 0.2061  6 Ga 2.52-2.60
Pd: 0.0000 0.2061 0.7939  6 Ga 2.52-2.60
Ga: 0.0000 0.9234 0.6818  3 Pd 2.52-2.60
Ga: 0.5000 0.8182 0.4234  3 Pd 2.52-2.60
Ga: 0.5000 0.5766 0.1818  3 Pd 2.52-2.60
Ga: 0.5000 0.1818 0.5766  3 Pd 2.52-2.60
Ga: 0.0000 0.6818 0.9234  3 Pd 2.52-2.60
Ga: 0.5000 0.4234 0.8182  3 Pd 2.52-2.60
Ga: 0.0000 0.0766 0.3182  3 Pd 2.52-2.60
Ga: 0.0000 0.3182 0.0766  3 Pd 2.52-2.60
Ho: 0.0000 0.5000 0.5000  4 Pd 3.06, 8 Ga 3.30
Ho: 0.5000 0.0000 0.0000  4 Pd 3.06, 8 Ga 3.30

***

Record 6
HoGa5Pd7: relaxed, PBE.

## Properties
- Density of states at the Fermi level: 0.432 states/eV/atom
- VASP energy: -4.944 eV per atom
- Energy of formation: -0.631 eV per atom

a b c (Å): 5.3349 6.8289 6.8289
angles (deg): 82.61 67.01 67.01
Closest atoms and distances in Å follow each position.
Positions (direct):
Ga: 0.0073 0.4876 0.0056  7 Pd 2.55-2.76, 3 Ga 2.63-2.71
Ga: 0.7275 0.7725 0.7725  6 Pd 2.64-2.81, 4 Ga 2.71
Ga: 0.4996 0.0056 0.4876  7 Pd 2.55-2.76, 3 Ga 2.63-2.71
Ga: 0.4996 0.4876 0.0056  7 Pd 2.55-2.76, 3 Ga 2.63-2.71
Ga: 0.0073 0.0056 0.4876  7 Pd 2.55-2.76, 3 Ga 2.63-2.71
Pd: 0.5123 0.1919 0.7835  5 Ga 2.56-2.64, 1 Pd 2.78
Pd: 0.6554 0.3446 0.3446  4 Ga 2.70, 5 Pd 2.86-2.95, 1 Ho 2.96
Pd: 0.5123 0.7835 0.1919  5 Ga 2.56-2.64, 1 Pd 2.78
Pd: 0.3293 0.6707 0.6707  6 Ga 2.76-2.81, 1 Pd 2.86, 1 Ho 2.95
Pd: 0.2746 0.2254 0.2254  4 Ga 2.55, 2 Pd 2.78
Pd: 0.9910 0.6705 0.3475  5 Ga 2.63-2.74, 4 Pd 2.88-2.94
Pd: 0.9910 0.3475 0.6705  5 Ga 2.63-2.74, 4 Pd 2.88-2.94
Ho: 0.9930 0.0070 0.0070  10 Pd 2.95-3.28

***

Record 7
Ho12GaPd6: relaxed, PBE.

## Properties
- Density of states at the Fermi level: 0.986 states/eV/atom
- VASP energy: -5.172 eV per atom
- Energy of formation: -0.482 eV per atom

a b c (Å): 8.3382 8.3382 8.3382
angles (deg): 102.32 102.32 102.32
Closest atoms and distances in Å follow each position.
Positions (direct):
Ho: 0.6735 0.9243 0.0618  2 Pd 2.76-2.81, 1 Ga 2.84
Ho: 0.1712 0.4103 0.5625  4 Pd 2.87-2.95
Ho: 0.0757 0.9382 0.3265  2 Pd 2.76-2.81, 1 Ga 2.84
Ho: 0.5897 0.4375 0.8288  4 Pd 2.87-2.95
Ho: 0.4103 0.5625 0.1712  4 Pd 2.87-2.95
Ho: 0.5625 0.1712 0.4103  4 Pd 2.87-2.95
Ho: 0.9243 0.0618 0.6735  2 Pd 2.76-2.81, 1 Ga 2.84
Ho: 0.0618 0.6735 0.9243  2 Pd 2.76-2.81, 1 Ga 2.84
Ho: 0.3265 0.0757 0.9382  2 Pd 2.76-2.81, 1 Ga 2.84
Ho: 0.4375 0.8288 0.5897  4 Pd 2.87-2.95
Ho: 0.8288 0.5897 0.4375  4 Pd 2.87-2.95
Ho: 0.9382 0.3265 0.0757  2 Pd 2.76-2.81, 1 Ga 2.84
Pd: 0.3198 0.1409 0.6203  6 Ho 2.76-2.95
Pd: 0.1409 0.6203 0.3198  6 Ho 2.76-2.95
Pd: 0.6802 0.8591 0.3797  6 Ho 2.76-2.95
Pd: 0.6203 0.3198 0.1409  6 Ho 2.76-2.95
Pd: 0.8591 0.3797 0.6802  6 Ho 2.76-2.95
Pd: 0.3797 0.6802 0.8591  6 Ho 2.76-2.95
Ga: 0.0000 0.0000 0.0000  6 Ho 2.84

***

Record 8
Ho2GaPd: relaxed, PBE.

## Properties
- Density of states at the Fermi level: 0.582 states/eV/atom
- VASP energy: -5.092 eV per atom
- Energy of formation: -0.748 eV per atom

a b c (Å): 3.5309 3.5309 7.0305
angles (deg): 90.00 90.00 90.00
Closest atoms and distances in Å follow each position.
Positions (direct):
Ho: 0.0000 0.0000 0.2426  4 Pd 3.02, 4 Ga 3.08
Ho: 0.0000 0.0000 0.7574  4 Pd 3.02, 4 Ga 3.08
Pd: 0.5000 0.5000 0.0000  8 Ho 3.02
Ga: 0.5000 0.5000 0.5000  8 Ho 3.08

***

Record 9
HoGa3Pd: relaxed, PBE.

## Properties
- Density of states at the Fermi level: 0.347 states/eV/atom
- VASP energy: -4.413 eV per atom
- Energy of formation: -0.643 eV per atom
- Excess energy over the best structure of this formula in the dataset: 0.000 eV per atom

a b c (Å): 4.2231 8.2451 10.7897
angles (deg): 90.00 90.00 90.00
Closest atoms and distances in Å follow each position.
Positions (direct):
Pd: 0.7500 0.9055 0.3558  7 Ga 2.50-2.67
Pd: 0.7500 0.4055 0.1442  7 Ga 2.50-2.67
Pd: 0.2500 0.5945 0.8558  7 Ga 2.50-2.67
Pd: 0.2500 0.0945 0.6442  7 Ga 2.50-2.67
Ga: 0.2500 0.0744 0.4039  3 Pd 2.58-2.60, 2 Ga 2.71-2.72
Ga: 0.7500 0.4256 0.9039  3 Pd 2.58-2.60, 2 Ga 2.71-2.72
Ga: 0.2500 0.5744 0.0961  3 Pd 2.58-2.60, 2 Ga 2.71-2.72
Ga: 0.7500 0.6058 0.3182  2 Pd 2.50
Ga: 0.2500 0.8942 0.8182  2 Pd 2.50
Ga: 0.2500 0.3942 0.6818  2 Pd 2.50
Ga: 0.7500 0.6294 0.7074  2 Pd 2.67, 4 Ga 2.71-2.88
Ga: 0.7500 0.1294 0.7926  2 Pd 2.67, 4 Ga 2.71-2.88
Ga: 0.2500 0.8706 0.2074  2 Pd 2.67, 4 Ga 2.71-2.88
Ga: 0.7500 0.1058 0.1818  2 Pd 2.50
Ga: 0.2500 0.3706 0.2926  2 Pd 2.67, 4 Ga 2.71-2.88
Ga: 0.7500 0.9256 0.5961  3 Pd 2.58-2.60, 2 Ga 2.71-2.72
Ho: 0.7500 0.3040 0.4867  7 Ga 2.97-3.08, 2 Pd 3.21
Ho: 0.2500 0.1960 0.9867  7 Ga 2.97-3.08, 2 Pd 3.21
Ho: 0.2500 0.6960 0.5133  7 Ga 2.97-3.08, 2 Pd 3.21
Ho: 0.7500 0.8040 0.0133  7 Ga 2.97-3.08, 2 Pd 3.21

***

Record 10
Ho2Ga3Pd: relaxed, PBE.

## Properties
- Density of states at the Fermi level: 0.590 states/eV/atom
- VASP energy: -4.660 eV per atom
- Energy of formation: -0.755 eV per atom
- Excess energy over the best structure of this formula in the dataset: 0.015 eV per atom

a b c (Å): 3.6077 4.3720 7.7079
angles (deg): 90.00 90.00 90.00
Closest atoms and distances in Å follow each position.
Positions (direct):
Ga: 0.5000 0.0000 0.1655  2 Pd 2.55, 1 Ga 2.55
Ga: 0.5000 0.5000 0.6655  2 Ga 2.54, 1 Pd 2.55
Ga: 0.5000 0.0000 0.8345  3 Ga 2.54-2.55
Ho: 0.0000 0.0000 0.4907  4 Pd 3.08, 8 Ga 3.09-3.21
Ho: 0.0000 0.5000 0.0088  10 Ga 3.08-3.20, 2 Pd 3.09
Pd: 0.5000 0.5000 0.3350  3 Ga 2.55

***

VASP energy of number 3 (HoGa2Pd7)?
-5.000 eV per atom